A plane-wave DFT calculation with PBE was carried out for La2Al2Bi after structural relaxation.

Values from the calculation:
The space-group type is P4/mbm (127). The energy above the most stable polymorph in this dataset comes out at 0.000 eV/atom. The calculated formation energy is -496 meV per atom.

a = 7.817 Å, b = 7.817 Å, c = 4.659 Å
α = 90.00°, β = 90.00°, γ = 90.00°
Fractional coordinates of all 10 atoms:
La  0.172  0.328  0.000
La  0.328  0.828  0.000
La  0.672  0.172  0.000
La  0.828  0.672  0.000
Al  0.120  0.620  0.500
Al  0.380  0.120  0.500
Al  0.620  0.880  0.500
Al  0.880  0.380  0.500
Bi  0.000  0.000  0.500
Bi  0.500  0.500  0.500